1.
12
Lattice="3.574 -6.019 0.000 3.574 6.019 0.000 0.000 0.000 9.776" Properties=species:S:1:pos:R:3 comment="PBE PmNd4Ho, optimized geometry" e_above_lowest_polymorph_ev_per_atom=0.210 magnetic_moment_mub_per_atom=0.00 space_group="No. 63" formation_energy_ev_per_fu=1.4 pbc="T T T"
Pm 3.574 3.809 7.332
Pm 3.574 -3.809 2.444
Nd 2.022 0.919 7.332
Nd 3.574 2.169 0.716
Nd 3.574 2.169 4.172
Nd 2.022 -0.919 2.444
Nd 5.126 0.919 7.332
Nd 3.574 -2.169 5.604
Nd 3.574 -2.169 9.060
Nd 5.126 -0.919 2.444
Ho 0.000 0.000 0.000
Ho 0.000 0.000 4.888

***

2.
8
Lattice="5.776 -3.576 0.000 5.776 3.576 0.000 -2.311 0.000 5.341" Properties=species:S:1:pos:R:3 comment="PBE Tc2MoSe5, optimized geometry" e_form_raw_ev_per_atom=-0.02 magnetic_moment_mub_per_atom=0.00 space_group="No. 8" pbc="T T T"
Tc 0.000 0.000 0.000
Tc 5.560 0.000 3.181
Mo 6.918 0.000 0.494
Se 3.620 1.501 3.984
Se 6.302 1.927 1.863
Se 3.620 -1.501 3.984
Se 6.930 0.000 5.117
Se 6.302 -1.927 1.863

***

| no. | N(E_F) (states/eV/f.u.) |
| --- | --- |
| 1 | 9.66 |
| 2 | 3.73 |